KIr2Pt | GGA-PBE | optimized geometry

DOS at the Fermi energy: 1.143 states/eV/atom
formation energy from the elements: 100.6 kJ per mole of atoms
electronic total energy: -5.173 eV per atom

Cell: 5.056 5.056 5.056 Å, 132.49 132.49 69.46°
Atoms (fractional coordinates):
K 0.000 0.000 0.000
Ir 0.250 0.750 0.500
Ir 0.750 0.250 0.500
Pt 0.500 0.500 0.000



Rb3Dy3ScTe8 | GGA-PBE | optimized geometry

DOS at the Fermi energy: 0.392 states/eV/atom
ΔE_f (raw): -1.281 eV/atom
electronic total energy: -4.493 eV per atom

Cell: 10.215 10.215 10.215 Å, 50.54 50.54 50.54°
Atoms (fractional coordinates):
Rb 0.000 0.500 0.500
Rb 0.500 0.000 0.500
Rb 0.500 0.500 0.000
Dy 0.000 0.000 0.500
Dy 0.000 0.500 0.000
Dy 0.500 0.000 0.000
Sc 0.500 0.500 0.500
Te 0.234 0.234 0.234
Te 0.241 0.726 0.726
Te 0.274 0.274 0.759
Te 0.274 0.759 0.274
Te 0.726 0.241 0.726
Te 0.726 0.726 0.241
Te 0.759 0.274 0.274
Te 0.766 0.766 0.766



HfReI2N | GGA-PBE | optimized geometry

DOS at the Fermi energy: 0.426 states/eV/atom
ΔE_f (raw): 0.975 eV/atom
electronic total energy: -5.791 eV per atom

Cell: 5.966 5.966 3.988 Å, 90.00 90.00 90.00°
Atoms (fractional coordinates):
Hf 0.000 0.000 0.000
Re 0.500 0.500 0.500
I 0.000 0.500 0.000
I 0.500 0.000 0.000
N 0.000 0.000 0.500



La6Ag2H | GGA-PBE | optimized geometry

DOS at the Fermi energy: 1.151 states/eV/atom
electronic total energy: -4.453 eV per atom

Cell: 6.617 7.356 12.618 Å, 90.00 119.70 90.00°
Atoms (fractional coordinates):
La 0.111 0.023 0.252
La 0.111 0.477 0.752
La 0.196 0.681 0.044
La 0.196 0.819 0.544
La 0.380 0.192 0.043
La 0.380 0.308 0.543
La 0.620 0.692 0.457
La 0.620 0.808 0.957
La 0.804 0.181 0.456
La 0.804 0.319 0.956
La 0.889 0.523 0.248
La 0.889 0.977 0.748
Ag 0.360 0.109 0.757
Ag 0.360 0.391 0.257
Ag 0.640 0.609 0.743
Ag 0.640 0.891 0.243
H 0.500 0.000 0.500
H 0.500 0.500 0.000